No. 1
AcNdRu GGA-PBE optimized geometry; energy relative to the lowest polymorph listed for this composition = 0.012 eV/atom; E_tot = -18.5 eV/f.u.; calculated formation energy = -12 kJ/mol of atoms
1.0
-1.185 5.786 -2.643
-3.008 0.709 2.900
4.000 1.170 0.767
Ac Nd Ru
1 1 1
direct
0.237 0.333 0.667
0.770 0.667 0.333
0.993 0.000 0.000

---

No. 2
SrAc2NdRu GGA-PBE optimized geometry; E_tot = -24.4 eV/f.u.; calculated formation energy = -9 kJ/mol of atoms
1.0
-2.532 5.110 0.341
-5.117 -2.618 1.228
1.254 0.239 5.737
Ac Nd Ru Sr
2 1 1 1
direct
0.000 0.500 0.000
0.000 0.000 0.500
0.500 0.000 0.000
0.000 0.000 0.000
0.500 0.500 0.500

---

No. 3
AcNdTlRu GGA-PBE optimized geometry; E_tot = -20.8 eV/f.u.; calculated formation energy = -6 kJ/mol of atoms
1.0
5.396 0.000 0.000
2.698 4.673 0.000
2.698 1.558 4.406
Nd Tl Ru Ac
1 1 1 1
direct
0.000 0.000 0.000
0.250 0.250 0.250
0.750 0.750 0.750
0.500 0.500 0.500

---

No. 4
AcNdZnRu GGA-PBE optimized geometry; energy relative to the lowest polymorph listed for this composition = 0.052 eV/atom; E_tot = -20.0 eV/f.u.; calculated formation energy = -13 kJ/mol of atoms
1.0
5.219 0.000 0.000
2.609 4.520 0.000
2.609 1.507 4.261
Zn Nd Ru Ac
1 1 1 1
direct
0.250 0.250 0.250
0.500 0.500 0.500
0.750 0.750 0.750
0.000 0.000 0.000

---

No. 5
AcNdZnRu GGA-PBE optimized geometry; energy relative to the lowest polymorph listed for this composition = 0.000 eV/atom; E_tot = -20.2 eV/f.u.; calculated formation energy = -18 kJ/mol of atoms
1.0
4.253 0.000 0.000
0.000 4.520 0.000
-2.126 0.000 5.450
Zn Nd Ru Ac
1 1 1 1
direct
0.562 0.500 0.124
0.864 0.500 0.727
0.429 0.000 0.858
0.145 0.000 0.291

---

No. 6
Ac4NdS6 GGA-PBE optimized geometry; E_tot = -67.5 eV/f.u.; energy relative to the elements, uncorrected = -1.9576 eV per atom
1.0
-4.532 -3.580 -6.125
-2.476 -5.962 5.404
-6.688 4.637 2.151
S Nd Ac
12 2 8
direct
0.562 0.186 0.586
0.186 0.414 0.438
0.686 0.062 0.086
0.914 0.686 0.938
0.438 0.814 0.414
0.414 0.562 0.814
0.938 0.086 0.686
0.086 0.314 0.062
0.314 0.938 0.914
0.814 0.586 0.562
0.586 0.438 0.186
0.062 0.914 0.314
0.500 0.500 0.500
0.000 0.000 0.000
0.374 0.126 0.250
0.874 0.250 0.374
0.126 0.750 0.626
0.750 0.374 0.874
0.250 0.626 0.126
0.750 0.750 0.250
0.626 0.874 0.750
0.250 0.250 0.750

---

No. 7
AcNd3S6 GGA-PBE optimized geometry; E_tot = -64.1 eV/f.u.; energy relative to the elements, uncorrected = -2.0924 eV per atom
1.0
-1.619 0.066 -3.862
-0.581 -11.453 0.048
-10.118 4.238 4.314
S Nd Ac
12 6 2
direct
0.750 0.732 0.272
0.250 0.523 0.392
0.750 0.119 0.462
0.250 0.195 0.248
0.750 0.917 0.094
0.750 0.477 0.608
0.750 0.396 0.057
0.250 0.604 0.943
0.750 0.805 0.752
0.250 0.083 0.906
0.250 0.268 0.728
0.250 0.881 0.538
0.250 0.320 0.497
0.750 0.162 0.088
0.250 0.838 0.912
0.750 0.680 0.503
0.250 0.555 0.168
0.750 0.445 0.832
0.250 0.949 0.307
0.750 0.051 0.693

---

No. 8
Ac3Nd4S8 GGA-PBE optimized geometry; E_tot = -94.7 eV/f.u.; energy relative to the elements, uncorrected = -2.0209 eV per atom
1.0
-7.594 1.151 -3.109
4.780 -6.214 -2.916
0.898 -2.963 7.771
S Nd Ac
8 4 3
direct
0.000 0.756 0.244
0.500 0.245 0.755
0.991 0.241 0.241
0.009 0.759 0.759
0.000 0.244 0.756
0.513 0.762 0.762
0.500 0.755 0.245
0.487 0.238 0.238
0.000 0.000 0.000
0.000 0.500 0.000
0.000 0.000 0.500
0.500 0.000 0.000
0.500 0.500 0.500
0.500 0.500 0.000
0.500 0.000 0.500

---

No. 9
Ac2Nd3S8 GGA-PBE optimized geometry; energy relative to the lowest polymorph listed for this composition = 0.000 eV/atom; E_tot = -80.3 eV/f.u.; energy relative to the elements, uncorrected = -1.9027 eV per atom
1.0
7.021 0.000 0.143
0.000 8.476 0.000
-2.668 -4.238 6.724
S Nd Ac
8 3 2
direct
0.059 0.378 0.756
0.589 0.653 0.757
0.589 0.104 0.757
0.941 0.622 0.244
0.411 0.347 0.243
0.411 0.896 0.243
0.072 0.889 0.777
0.928 0.111 0.223
0.500 0.000 0.000
0.000 0.737 0.000
0.000 0.263 0.000
0.348 0.270 0.541
0.652 0.730 0.459

---

No. 10
Ac3Nd5S8 GGA-PBE optimized geometry; E_tot = -101.3 eV/f.u.; energy relative to the elements, uncorrected = -2.0062 eV per atom
1.0
-7.636 -0.419 3.273
-2.687 -7.105 3.392
-0.964 -0.568 8.248
S Ac Nd
8 3 5
direct
0.260 0.750 0.240
0.750 0.260 0.240
0.750 0.750 0.240
0.745 0.745 0.765
0.255 0.255 0.235
0.250 0.250 0.760
0.740 0.250 0.760
0.250 0.740 0.760
0.500 0.000 0.500
0.000 0.500 0.500
0.000 0.000 0.500
0.500 0.500 0.500
0.000 0.500 0.000
0.000 0.000 0.000
0.500 0.500 0.000
0.500 0.000 0.000

---

No. 11
Ac2Nd3S8 GGA-PBE optimized geometry; energy relative to the lowest polymorph listed for this composition = 0.024 eV/atom; E_tot = -80.0 eV/f.u.; energy relative to the elements, uncorrected = -1.8788 eV per atom
1.0
4.822 0.000 0.000
0.000 8.731 -5.018
0.000 -0.778 8.752
Nd S Ac
3 8 2
direct
0.000 0.714 0.000
0.000 0.286 0.000
0.500 0.000 0.000
0.000 0.621 0.243
0.500 0.116 0.762
0.000 0.115 0.229
0.000 0.379 0.757
0.500 0.646 0.762
0.500 0.354 0.238
0.500 0.884 0.238
0.000 0.885 0.771
0.500 0.264 0.528
0.500 0.736 0.472

---

No. 12
AcNdS2 GGA-PBE optimized geometry; energy relative to the lowest polymorph listed for this composition = 0.051 eV/atom; E_tot = -24.9 eV/f.u.; energy relative to the elements, uncorrected = -1.9396 eV per atom
1.0
4.100 0.000 0.000
2.050 3.550 0.000
2.050 1.183 7.270
Ac Nd S
1 1 2
direct
0.495 0.495 0.515
0.672 0.672 0.984
0.256 0.256 0.233
0.077 0.077 0.769

---

Question: Which value of E_tot does entry 9 give?
Answer: -80.3 eV/f.u.

---

Question: What is the E_tot in the twelfth record?
Answer: -24.9 eV/f.u.

---

Question: Among the records above, which one has the highest E_tot?
Answer: AcNdRu

---

Question: Which formula does entry 6 have?
Answer: Ac4NdS6